Compound: CdTe2AuC
Source: Alexandria via LeMat-Bulk
Functional: GGA-PBE
Structure: optimized geometry

The total energy is -3.1188 eV/atom. The value obtained for the uncorrected formation energy is 79.23 kJ per mole of atoms. The value obtained for the density of states at the Fermi level is 3.97 states/eV/f.u.

It has space group P4/mmm (No. 123), with a = 5.257 Å, b = 5.257 Å, c = 4.080 Å, α = 90.00°, β = 90.00° and γ = 90.00°. The distinct sites, in fractional coordinates, are Cd at (0.000, 0.000, 0.000), Te at (0.000, 0.500, 0.500), Au at (0.500, 0.500, 0.000) and C at (0.500, 0.500, 0.500).



Compound: AsIrAuS2
Source: Alexandria via LeMat-Bulk
Functional: GGA-PBE
Structure: optimized geometry

The total energy is -3.6555 eV/atom. The value obtained for the uncorrected formation energy is 130.55 kJ per mole of atoms. The value obtained for the density of states at the Fermi level is 5.56 states/eV/f.u.

It has space group P4/mmm (No. 123), with a = 4.627 Å, b = 4.627 Å, c = 4.860 Å, α = 90.00°, β = 90.00° and γ = 90.00°. The distinct sites, in fractional coordinates, are As at (0.000, 0.000, 0.000), Ir at (0.500, 0.500, 0.500), Au at (0.000, 0.000, 0.500) and S at (0.000, 0.500, 0.000).



Compound: CsPd3Ru
Source: Alexandria via LeMat-Bulk
Functional: GGA-PBE
Structure: optimized geometry

As for the distance to the lowest polymorph of the same formula: 0 meV/atom. The total energy is -4.3281 eV/atom. Its energy of formation is 813.4 meV per atom. The value obtained for the density of states at the Fermi level is 6.07 states/eV/f.u.

It has space group Pm-3m (No. 221), with a = 5.011 Å, b = 5.011 Å, c = 5.011 Å, α = 90.00°, β = 90.00° and γ = 90.00°. The distinct sites, in fractional coordinates, are Cs at (0.000, 0.000, 0.000), Pd at (0.000, 0.500, 0.500) and Ru at (0.500, 0.500, 0.500).